No. 1
PBE Pm2MgMn, optimized geometry; energy relative to the elements = 7.6 kJ/mol of atoms; polymorph energy (0 for the lowest one) = 0 meV per atom; total energy = -19.951 eV for the cell shown; ρ = 5.75 g/cm3; total magnetization = 3.0 Bohr magnetons per cell
1.0
3.638 0.000 0.000
0.000 3.638 0.000
0.000 0.000 8.057
Pm Mg Mn
2 1 1
Direct
0.000 0.000 0.222
0.000 0.000 0.778
0.500 0.500 0.500
0.500 0.500 0.000

---

No. 2
PBE MgCoSe2, optimized geometry; polymorph energy (0 for the lowest one) = 287 meV per atom; total energy = -16.619 eV for the cell shown; ρ = 4.96 g/cm3; raw formation energy = -0.949 eV per formula unit; total magnetization = 1.5 Bohr magnetons per cell
1.0
-1.791 3.150 3.580
1.791 -3.150 3.580
1.791 3.150 -3.580
Mg Co Se
1 1 2
Direct
0.000 0.000 0.000
0.500 0.500 0.000
0.286 0.786 0.500
0.714 0.214 0.500

---

No. 3
PBE TaTiAg2, optimized geometry; energy relative to the elements = 66.9 kJ/mol of atoms; polymorph energy (0 for the lowest one) = 262 meV per atom; total energy = -45.354 eV for the cell shown; ρ = 9.84 g/cm3; total magnetization = 0.0 Bohr magnetons per cell
1.0
-3.761 3.761 2.651
3.761 -3.761 2.651
3.761 3.761 -2.651
Ta Ti Ag
2 2 4
Direct
0.000 0.000 0.000
0.750 0.250 0.500
0.250 0.750 0.500
0.500 0.500 0.000
0.132 0.125 0.507
0.375 0.868 0.993
0.618 0.625 0.493
0.875 0.382 0.007

---

No. 4
PBE CaPr2IrO8, optimized geometry; total energy = -83.971 eV for the cell shown; ρ = 5.56 g/cm3; raw formation energy = -23.883 eV per formula unit; total magnetization = 1.0 Bohr magnetons per cell
1.0
5.177 0.000 0.000
-0.077 5.185 0.000
-0.002 -0.001 7.148
Ca Pr Ir O
1 2 1 8
Direct
0.000 0.000 0.000
0.499 0.499 0.753
0.501 0.501 0.247
0.000 0.000 0.500
0.178 0.823 0.306
0.179 0.825 0.694
0.258 0.261 0.499
0.305 0.307 0.001
0.695 0.693 0.999
0.742 0.739 0.501
0.821 0.175 0.306
0.822 0.177 0.694

---

No. 5
PBE MgNi3H, optimized geometry; polymorph energy (0 for the lowest one) = 116 meV per atom; total energy = -89.948 eV for the cell shown; ρ = 6.52 g/cm3; total magnetization = 0.0 Bohr magnetons per cell
1.0
4.296 -5.270 0.000
4.296 5.270 0.000
-0.070 0.000 4.535
Mg Ni H
4 12 4
Direct
0.062 0.215 0.078
0.215 0.062 0.578
0.785 0.938 0.422
0.938 0.785 0.922
0.066 0.672 0.412
0.195 0.566 0.909
0.312 0.441 0.430
0.328 0.934 0.088
0.434 0.805 0.591
0.441 0.312 0.930
0.559 0.688 0.070
0.566 0.195 0.409
0.672 0.066 0.912
0.688 0.559 0.570
0.805 0.434 0.091
0.934 0.328 0.588
0.306 0.694 0.250
0.442 0.558 0.750
0.558 0.442 0.250
0.694 0.306 0.750